A relaxed La2TbScS4 crystal, computed with GGA-PBE.

For the total energy, the calculation gives -6.698 eV/atom. The volume is 22.38 Å³/atom. The value obtained for the formation energy (no corrections) is -2.03 eV/atom.

The structure belongs to space group P2/m (No. 10); the cell edges are 6.843, 3.927 and 7.036 Å and the angles 90.00°, 108.73° and 90.00°. Symmetry generates all atoms from La at (0.000, 0.000, 0.000), La at (0.500, 0.500, 0.000), Tb at (0.000, 0.500, 0.500), Sc at (0.500, 0.000, 0.500), S at (0.250, 0.000, 0.725) and S at (0.269, 0.500, 0.280).